# 1
Computed, not measured: La2PmPr4Tl2 after structural relaxation at the PBE level of DFT.

Unit cell a=6.507 b=8.508 c=6.951 alpha=113.29 beta=117.89 gamma=80.41
Sites, in units of the cell vectors:
Tl (0.138, 0.601, 0.948)
Tl (0.862, 0.399, 0.052)
La (0.190, 0.826, 0.486)
La (0.810, 0.174, 0.514)
Pr (0.304, 0.377, 0.533)
Pr (0.696, 0.623, 0.467)
Pr (0.606, 0.765, 0.015)
Pr (0.394, 0.235, 0.985)
Pm (0.000, 0.000, 0.000)

Calculated values
Energy relative to the elements = -84 kJ/mol of formula units
Theoretical density = 7.42 g cm⁻³
Symmetry = P-1

***

# 2
Computed, not measured: Sm2Y8In after structural relaxation at the PBE level of DFT.

Unit cell a=5.759 b=9.868 c=9.868 alpha=40.50 beta=92.54 gamma=92.54
Sites, in units of the cell vectors:
Sm (0.260, 0.721, 0.721)
Sm (0.740, 0.279, 0.279)
Y (0.741, 0.863, 0.382)
Y (0.229, 0.551, 0.551)
Y (0.259, 0.618, 0.137)
Y (0.228, 0.172, 0.172)
Y (0.772, 0.828, 0.828)
Y (0.771, 0.449, 0.449)
Y (0.741, 0.382, 0.863)
Y (0.259, 0.137, 0.618)
In (0.000, 0.000, 0.000)

Calculated values
Energy relative to the elements = 61 kJ/mol of formula units
Relative energy among the computed polymorphs = 0.120 eV per atom
Theoretical density = 5.14 g cm⁻³
Symmetry = C2/m

***

What is the theoretical density in the second record?
5.14 g cm⁻³